# Dy6YZn2 (PBE-GGA, optimized geometry)
data_Dy6YZn2
_cell_length_a 12.455
_cell_length_b 3.620
_cell_length_c 11.740
_cell_angle_alpha 90.00
_cell_angle_beta 109.51
_cell_angle_gamma 90.00
_space_group_name_H-M_alt 'C 1 2/m 1'
_space_group_IT_number 12
_space_group_name_Hall '-C 2y'
loop_
_atom_site_label
_atom_site_type_symbol
_atom_site_fract_x
_atom_site_fract_y
_atom_site_fract_z
Dy1 Dy 0.023 0.000 0.329
Dy2 Dy 0.186 0.500 0.588
Dy3 Dy 0.191 0.500 0.875
Y1 Y 0.000 0.000 0.000
Zn1 Zn 0.148 0.500 0.205
# - volume (Å³/f.u.) = 249
# - energy of formation (kJ/mol of formula units) = -128
# - M_tot (μB/f.u.) = 0.0

# Tl3Ag2Te4 (PBE-GGA, optimized geometry)
data_Tl3Ag2Te4
_cell_length_a 4.780
_cell_length_b 6.927
_cell_length_c 9.433
_cell_angle_alpha 105.22
_cell_angle_beta 98.73
_cell_angle_gamma 103.92
_space_group_name_H-M_alt 'P -1'
_space_group_IT_number 2
_space_group_name_Hall '-P 1'
loop_
_atom_site_label
_atom_site_type_symbol
_atom_site_fract_x
_atom_site_fract_y
_atom_site_fract_z
Tl1 Tl 0.000 0.000 0.000
Tl2 Tl 0.040 0.555 0.324
Ag1 Ag 0.235 0.065 0.635
Te1 Te 0.347 0.171 0.365
Te2 Te 0.426 0.680 0.073
# - relative energy among the computed polymorphs (meV per atom) = 0
# - volume (Å³/f.u.) = 285
# - formation energy without anion corrections (eV per atom) = -0.16
# - M_tot (μB/f.u.) = 0.0

# Pm4Se5F2 (PBE-GGA, optimized geometry)
data_Pm4Se5F2
_cell_length_a 17.540
_cell_length_b 4.197
_cell_length_c 8.038
_cell_angle_alpha 90.00
_cell_angle_beta 102.67
_cell_angle_gamma 90.00
_space_group_name_H-M_alt 'C 1 2/m 1'
_space_group_IT_number 12
_space_group_name_Hall '-C 2y'
loop_
_atom_site_label
_atom_site_type_symbol
_atom_site_fract_x
_atom_site_fract_y
_atom_site_fract_z
Pm1 Pm 0.017 0.000 0.257
Pm2 Pm 0.211 0.500 0.218
Se1 Se 0.000 0.500 0.500
Se2 Se 0.150 0.000 0.951
Se3 Se 0.173 0.000 0.439
F1 F 0.057 0.500 0.160
# - volume (Å³/f.u.) = 289
# - formation energy without anion corrections (eV per atom) = -2.27
# - M_tot (μB/f.u.) = 0.0